1.
The following is a DFT calculation (PBEsol) of a geometry-optimized ZnCu3 structure.

Cell lengths 2.602, 4.143, 4.358 Å; angles 90.00, 90.00, 90.00 degrees
Positions (direct):
1 Zn 0.000 0.500 0.337
2 Cu 0.000 0.000 0.993
3 Cu 0.500 0.000 0.498
4 Cu 0.500 0.500 0.838

DOS(E_F): 0.9 states/eV/cell
space group: No. 25
E_form: -23 kJ/mol of formula units

2.
The following is a DFT calculation (PBEsol) of a geometry-optimized ZnCu5 structure.

Cell lengths 2.557, 2.557, 10.650 Å; angles 90.00, 90.00, 90.00 degrees
Positions (direct):
1 Cu 0.000 0.000 0.828
2 Cu 0.000 0.000 0.172
3 Cu 0.500 0.500 0.664
4 Cu 0.500 0.500 0.336
5 Cu 0.000 0.000 0.500
6 Zn 0.500 0.500 0.000

DOS(E_F): 1.7 states/eV/cell
space group: No. 123
E_form: -17 kJ/mol of formula units